A geometry-optimized Pr2SmAlO structure. Source: Alexandria via LeMat-Bulk, functional PBE-GGA.

Calculated values
Space-group type: P4/mmm (123)
D(E_F) (states/eV/cell): 1.458
Formation energy from raw total energies (meV per atom): -1308
VASP energy (eV per atom): -5.9041
Mass density (g cm⁻³): 6.54

```
Pr2SmAlO
1.0
4.9860 0.0000 0.0000
0.0000 4.9860 0.0000
0.0000 0.0000 4.8492
Pr Sm Al O
2 1 1 1
direct
0.0000 0.5000 0.0000
0.5000 0.0000 0.0000
0.0000 0.0000 0.5000
0.5000 0.5000 0.5000
0.0000 0.0000 0.0000
```

=====

A geometry-optimized Ac2SiPd6Au structure. Source: Alexandria via LeMat-Bulk, functional PBE-GGA.

Calculated values
Space-group type: R-3m (166)
D(E_F) (states/eV/cell): 10.461
Formation energy from raw total energies (meV per atom): -712
VASP energy (eV per atom): -5.5195
Mass density (g cm⁻³): 10.31

```
Ac2SiPd6Au
1.0
3.2414 1.8714 11.6663
-3.2414 1.8714 11.6663
0.0000 -3.7428 11.6663
Ac Si Pd Au
4 2 12 2
direct
0.1127 0.1127 0.1127
0.2828 0.2828 0.2828
0.7172 0.7172 0.7172
0.8873 0.8873 0.8873
0.0000 0.0000 0.0000
0.5000 0.5000 0.5000
0.0801 0.6674 0.6674
0.2175 0.2175 0.6535
0.2175 0.6535 0.2175
0.3326 0.3326 0.9199
0.3326 0.9199 0.3326
0.3465 0.7825 0.7825
0.6535 0.2175 0.2175
0.6674 0.0801 0.6674
0.6674 0.6674 0.0801
0.7825 0.3465 0.7825
0.7825 0.7825 0.3465
0.9199 0.3326 0.3326
0.4246 0.4246 0.4246
0.5754 0.5754 0.5754
```

=====

A geometry-optimized Li2CaCd structure. Source: Alexandria via LeMat-Bulk, functional PBE-GGA.

Calculated values
Space-group type: R3m (160)
Offset from the most stable computed form (eV/atom): 0.050
D(E_F) (states/eV/cell): 5.496
VASP energy (eV per atom): -1.8205
Mass density (g cm⁻³): 2.75

```
Li2CaCd
1.0
4.8868 0.0000 0.0000
-2.4434 4.2321 0.0000
0.0000 0.0000 14.5622
Li Ca Cd
6 3 3
direct
0.0000 0.0000 0.0000
0.0000 0.0000 0.2736
0.3333 0.6667 0.6667
0.3333 0.6667 0.9403
0.6667 0.3333 0.3333
0.6667 0.3333 0.6069
0.0000 0.0000 0.7830
0.3333 0.6667 0.4497
0.6667 0.3333 0.1164
0.0000 0.0000 0.5638
0.3333 0.6667 0.2305
0.6667 0.3333 0.8972
```

=====

A geometry-optimized TaIn2Pb structure. Source: Alexandria via LeMat-Bulk, functional PBE-GGA.

Calculated values
Space-group type: Pmmm (47)
D(E_F) (states/eV/cell): 2.168
VASP energy (eV per atom): -4.8814
Mass density (g cm⁻³): 10.52

```
TaIn2Pb
1.0
3.1024 0.0000 0.0000
0.0000 4.1972 0.0000
0.0000 0.0000 7.4864
Ta In Pb
1 2 1
direct
0.0000 0.0000 0.0000
0.5000 0.5000 0.2043
0.5000 0.5000 0.7957
0.0000 0.0000 0.5000
```

=====

A geometry-optimized CeRuW structure. Source: Alexandria via LeMat-Bulk, functional PBE-GGA.

Calculated values
Space-group type: P6_3mc (186)
D(E_F) (states/eV/cell): 10.621
VASP energy (eV per atom): -8.9770
Mass density (g cm⁻³): 9.91

```
CeRuW
1.0
4.1630 0.0000 0.0000
-2.0815 3.6052 0.0000
0.0000 0.0000 9.4936
Ce Ru W
2 2 2
direct
0.3333 0.6667 0.0000
0.6667 0.3333 0.5000
0.3333 0.6667 0.6977
0.6667 0.3333 0.1977
0.0000 0.0000 0.2480
0.0000 0.0000 0.7480
```

=====

A geometry-optimized TaZnGa2 structure. Source: Alexandria via LeMat-Bulk, functional PBE-GGA.

Calculated values
Space-group type: I-42d (122)
D(E_F) (states/eV/cell): 11.080
VASP energy (eV per atom): -4.5522
Mass density (g cm⁻³): 9.40

```
TaZnGa2
1.0
7.0418 0.0000 0.0000
0.0000 7.0418 0.0000
0.0000 0.0000 5.4969
Ta Zn Ga
4 4 8
direct
0.0000 0.0000 0.0000
0.0000 0.5000 0.2500
0.5000 0.0000 0.7500
0.5000 0.5000 0.5000
0.0000 0.0000 0.5000
0.0000 0.5000 0.7500
0.5000 0.0000 0.2500
0.5000 0.5000 0.0000
0.2240 0.2500 0.6250
0.2500 0.7240 0.8750
0.2500 0.7760 0.3750
0.2760 0.2500 0.1250
0.7240 0.7500 0.1250
0.7500 0.2240 0.3750
0.7500 0.2760 0.8750
0.7760 0.7500 0.6250
```

=====

A geometry-optimized TePb structure. Source: Alexandria via LeMat-Bulk, functional PBE-GGA.

Calculated values
Space-group type: Fd-3m (227)
D(E_F) (states/eV/cell): 10.411
Formation energy from raw total energies (meV per atom): 71
VASP energy (eV per atom): -3.3544
Mass density (g cm⁻³): 9.10

```
TePb
1.0
7.8768 0.0000 0.0000
0.0000 7.8768 0.0000
0.0000 0.0000 7.8768
Te Pb
8 8
direct
0.1250 0.1250 0.1250
0.1250 0.6250 0.6250
0.3750 0.3750 0.8750
0.3750 0.8750 0.3750
0.6250 0.1250 0.6250
0.6250 0.6250 0.1250
0.8750 0.3750 0.3750
0.8750 0.8750 0.8750
0.1250 0.1250 0.6250
0.1250 0.6250 0.1250
0.3750 0.3750 0.3750
0.3750 0.8750 0.8750
0.6250 0.1250 0.1250
0.6250 0.6250 0.6250
0.8750 0.3750 0.8750
0.8750 0.8750 0.3750
```

=====

A geometry-optimized Tm2PdPt2 structure. Source: Alexandria via LeMat-Bulk, functional PBE-GGA.

Calculated values
Space-group type: C2/c (15)
D(E_F) (states/eV/cell): 4.150
VASP energy (eV per atom): -6.3924
Mass density (g cm⁻³): 14.04

```
Tm2PdPt2
1.0
4.9226 -2.7379 0.0000
4.9226 2.7379 0.0000
-2.3701 0.0000 7.3241
Tm Pd Pt
4 2 4
direct
0.0168 0.2926 0.1495
0.2926 0.0168 0.6495
0.7074 0.9832 0.3505
0.9832 0.7074 0.8505
0.2458 0.7542 0.2500
0.7542 0.2458 0.7500
0.2474 0.4970 0.5091
0.4970 0.2474 0.0091
0.5030 0.7526 0.9909
0.7526 0.5030 0.4909
```